The following is a PBEsol calculation of a relaxed structure of Sr3Li3Ni4N4, from Alexandria via LeMat-Bulk.

abc: 9.189 9.189 9.189
angles: 154.98 135.45 51.77
Atoms (fractional coordinates):
Sr: 0.000 0.000 0.000
Sr: 0.218 0.218 0.000
Sr: 0.782 0.782 0.000
Li: 0.384 0.884 0.500
Li: 0.500 0.500 0.000
Li: 0.616 0.116 0.500
Ni: 0.130 0.380 0.750
Ni: 0.370 0.620 0.750
Ni: 0.630 0.380 0.250
Ni: 0.870 0.620 0.250
N: 0.116 0.616 0.500
N: 0.379 0.379 0.000
N: 0.621 0.621 0.000
N: 0.884 0.384 0.500

Results
Formation energy from raw total energies: -7.97 eV/f.u.